A plane-wave DFT calculation with PBE-GGA was carried out for TbPrEuHg after structural relaxation.

Values from the calculation:
Total magnetization ... 1.83 μB/atom
Symmetry ... F-43m (216)
Volume ... 30.24 A^3/atom
Energy of formation ... -0.064 eV per atom

```
data_TbPrEuHg
_cell_length_a 5.551
_cell_length_b 5.551
_cell_length_c 5.551
_cell_angle_alpha 60.00
_cell_angle_beta 60.00
_cell_angle_gamma 60.00
_space_group_name_H-M_alt 'P 1'
_space_group_IT_number 1
loop_
_space_group_symop_operation_xyz
'x,y,z'
loop_
_atom_site_label
_atom_site_type_symbol
_atom_site_fract_x
_atom_site_fract_y
_atom_site_fract_z
_atom_site_occupancy
Eu1 Eu 0.750 0.750 0.750 1
Pr1 Pr 0.500 0.500 0.500 1
Tb1 Tb 0.000 0.000 0.000 1
Hg1 Hg 0.250 0.250 0.250 1
```